(1)
Here is Sr2TlRe after structural relaxation from the Alexandria database. Energies are from GGA-PBE.

Geometry as POSCAR:
```
Sr2TlRe
1.0
5.284 0.000 0.000
2.642 4.576 0.000
2.642 1.525 4.314
Tl Sr Re
1 2 1
direct
0.750 0.750 0.750
0.000 0.000 0.000
0.250 0.250 0.250
0.500 0.500 0.500
```

Results
DOS(E_F)   2.09 states/eV per cell
Formation enthalpy at 0 K   811 meV/atom

=====

(2)
Here is Pm5Sn5Ir after structural relaxation from the Alexandria database. Energies are from GGA-PBE.

Geometry as POSCAR:
```
Pm5Sn5Ir
1.0
5.602 0.000 0.000
-2.801 8.650 1.122
0.000 -2.121 6.327
Ir Sn Pm
1 5 5
direct
0.000 0.000 0.000
0.374 0.747 0.399
0.681 0.363 0.173
0.319 0.637 0.827
0.626 0.253 0.601
0.000 0.000 0.500
0.828 0.657 0.621
0.500 0.000 0.000
0.141 0.283 0.868
0.859 0.717 0.132
0.172 0.343 0.379
```

Results
DOS(E_F)   7.14 states/eV per cell
Formation enthalpy at 0 K   -487 meV/atom

=====

(3)
Here is CoReTcMo after structural relaxation from the Alexandria database. Energies are from GGA-PBE.

Geometry as POSCAR:
```
CoReTcMo
1.0
4.329 0.000 0.000
2.165 3.749 0.000
2.165 1.250 3.535
Co Re Tc Mo
1 1 1 1
direct
0.250 0.250 0.250
0.750 0.750 0.750
0.000 0.000 0.000
0.500 0.500 0.500
```

Results
DOS(E_F)   5.43 states/eV per cell
Formation enthalpy at 0 K   202 meV/atom

=====

(4)
Here is CaAlSnHg after structural relaxation from the Alexandria database. Energies are from GGA-PBE.

Geometry as POSCAR:
```
CaAlSnHg
1.0
-2.458 -2.683 -3.706
2.706 -3.011 -3.254
-0.358 -5.170 0.341
Al Hg Sn Ca
1 1 1 1
direct
0.000 0.000 0.000
0.750 0.750 0.750
0.250 0.250 0.250
0.500 0.500 0.500
```

Results
DOS(E_F)   2.62 states/eV per cell
Formation enthalpy at 0 K   -189 meV/atom

=====

(5)
Here is K4La3PaS8 after structural relaxation from the Alexandria database. Energies are from GGA-PBE.

Geometry as POSCAR:
```
K4La3PaS8
1.0
8.471 0.000 0.000
0.000 8.854 0.261
-4.235 -4.229 5.994
S K Pa La
8 4 1 3
direct
0.737 0.712 0.475
0.229 0.707 0.978
0.749 0.707 0.978
0.771 0.293 0.542
0.229 0.707 0.458
0.771 0.293 0.022
0.251 0.293 0.022
0.263 0.288 0.525
0.500 0.000 0.000
0.000 0.000 0.000
0.500 0.000 0.500
0.000 0.000 0.500
0.000 0.500 0.000
0.500 0.500 0.000
0.500 0.500 0.500
0.000 0.500 0.500
```

Results
Formation energy from raw total energies   -1790 meV/atom
DOS(E_F)   8.84 states/eV per cell

=====

(6)
Here is Th3OsPbS after structural relaxation from the Alexandria database. Energies are from GGA-PBE.

Geometry as POSCAR:
```
Th3OsPbS
1.0
-1.392 -2.843 3.374
3.053 -5.886 -3.701
6.822 3.850 6.058
S Th Os Pb
2 6 2 2
direct
0.750 0.867 0.371
0.250 0.133 0.629
0.250 0.747 0.469
0.750 0.253 0.531
0.750 0.929 0.101
0.750 0.477 0.143
0.250 0.071 0.899
0.250 0.523 0.857
0.250 0.728 0.144
0.750 0.272 0.856
0.250 0.260 0.283
0.750 0.740 0.717
```

Results
Formation energy from raw total energies   -645 meV/atom
DOS(E_F)   8.99 states/eV per cell